Zn2PRh | GGA-PBE | optimized geometry

abc: 3.0245 3.0245 23.6338
angles: 90.00 90.00 120.00
With the nearest neighbours (Å) after each atom.
Space group R3m (No. 160, hexagonal axes)
Inequivalent atoms, fractional coordinates:
Zn (0.0000, 0.0000, 0.0000) [3 per cell]  3 Rh 2.70, 3 Zn 2.79
Zn (0.0000, 0.0000, 0.2413) [3 per cell]  3 P 2.76, 9 Zn 2.79-3.02
P (0.0000, 0.0000, 0.4843) [3 per cell]  3 Rh 2.31
Rh (0.0000, 0.0000, 0.7537) [3 per cell]  3 P 2.31

Uncorrected energy, eV per atom: -3.998
Total magnetization, μB/cell: 0.0
Crystal system: trigonal